# 1
! LiScZn2, relaxed, DFT GGA-PBE; values from VASP
&SYSTEM
  ibrav = 0, nat = 4, ntyp = 3
/
ATOMIC_SPECIES
Li 6.94 Li.upf
Sc 44.96 Sc.upf
Zn 65.41 Zn.upf
ATOMIC_POSITIONS angstrom
Li 3.1390 3.1390 3.1390
Sc 1.5695 1.5695 1.5695
Zn 0.0000 0.0000 0.0000
Zn 4.7084 4.7084 4.7084
CELL_PARAMETERS angstrom
0.0000 3.1390 3.1390
3.1390 0.0000 3.1390
3.1390 3.1390 0.0000
! - E_tot (eV per formula unit) = -11.813
! - ρ (g/cm3) = 4.90

---

# 2
! LiScZn2, relaxed, DFT GGA-PBE; values from VASP
&SYSTEM
  ibrav = 0, nat = 4, ntyp = 3
/
ATOMIC_SPECIES
Li 6.94 Li.upf
Sc 44.96 Sc.upf
Zn 65.41 Zn.upf
ATOMIC_POSITIONS angstrom
Li 4.7086 4.7086 4.7086
Sc 3.1391 3.1391 3.1391
Zn 0.0000 0.0000 0.0000
Zn 1.5695 1.5695 1.5695
CELL_PARAMETERS angstrom
0.0000 3.1391 3.1391
3.1391 0.0000 3.1391
3.1391 3.1391 0.0000
! - E_tot (eV per formula unit) = -11.813
! - ρ (g/cm3) = 4.90

---

Which value of E_tot does entry 2 give? -11.813 eV per formula unit